(1)
! Ac4Dy2Y3 PBE relaxed; values from VASP
&SYSTEM
  ibrav = 0, nat = 9, ntyp = 3
/
ATOMIC_SPECIES
Ac 227.00 Ac.upf
Y 88.91 Y.upf
Dy 162.50 Dy.upf
ATOMIC_POSITIONS angstrom
Ac -2.824 1.562 1.863
Ac -2.418 4.240 7.854
Ac -6.243 -0.228 5.155
Ac -5.836 2.450 11.145
Y -5.758 2.784 7.380
Y -2.902 1.228 5.629
Y 0.000 0.000 0.000
Dy -5.607 3.138 3.770
Dy -3.053 0.874 9.238
CELL_PARAMETERS angstrom
-2.199 4.930 0.391
-6.207 0.081 1.467
-0.254 -0.999 11.151
! E_form (kJ/mol of formula units): 49
! Space-group type: C2/m (12)
! Magnetic moment (μB per formula unit): 0.000

(2)
! Ac3DyY8 PBE relaxed; values from VASP
&SYSTEM
  ibrav = 0, nat = 12, ntyp = 3
/
ATOMIC_SPECIES
Y 88.91 Y.upf
Ac 227.00 Ac.upf
Dy 162.50 Dy.upf
ATOMIC_POSITIONS angstrom
Y -0.463 3.445 0.703
Y 5.366 0.985 -2.174
Y 2.931 4.855 1.526
Y -2.652 6.176 1.081
Y 2.412 2.123 -0.634
Y 0.057 6.176 2.863
Y 5.120 2.123 1.149
Y -2.897 7.315 4.404
Ac 1.565 1.879 3.603
Ac -2.418 3.844 3.675
Ac 0.904 6.421 -1.374
Dy 0.000 0.000 0.000
CELL_PARAMETERS angstrom
7.304 0.612 -5.120
-3.025 8.299 -1.385
-1.811 -0.612 8.734
! E_form (kJ/mol of formula units): 299
! Space-group type: Immm (71)
! Magnetic moment (μB per formula unit): 0.000

(3)
! Ac8Dy2Y PBE relaxed; values from VASP
&SYSTEM
  ibrav = 0, nat = 11, ntyp = 3
/
ATOMIC_SPECIES
Ac 227.00 Ac.upf
Y 88.91 Y.upf
Dy 162.50 Dy.upf
ATOMIC_POSITIONS angstrom
Ac 4.762 5.189 5.627
Ac 3.127 3.595 0.255
Ac 2.635 7.240 -1.367
Ac 1.768 0.608 5.812
Ac 3.744 6.798 2.285
Ac 0.659 1.049 2.160
Ac -0.359 2.658 -1.182
Ac 1.275 4.252 4.190
Y 2.792 0.000 -0.847
Dy 4.099 2.083 3.440
Dy 0.304 5.764 1.005
CELL_PARAMETERS angstrom
5.585 0.001 -1.694
-1.172 8.678 -3.859
-0.010 -0.831 9.998
! E_form (kJ/mol of formula units): 144
! Space-group type: Immm (71)
! Magnetic moment (μB per formula unit): 0.000

(4)
! Ac2Dy2Y3 PBE relaxed; values from VASP
&SYSTEM
  ibrav = 0, nat = 7, ntyp = 3
/
ATOMIC_SPECIES
Y 88.91 Y.upf
Ac 227.00 Ac.upf
Dy 162.50 Dy.upf
ATOMIC_POSITIONS angstrom
Y -6.716 -2.852 0.871
Y 0.000 0.000 0.000
Y -5.564 0.138 1.319
Ac -3.015 -2.383 0.127
Ac -9.266 -0.330 2.062
Dy -7.688 2.800 0.512
Dy -5.397 -4.682 -1.805
CELL_PARAMETERS angstrom
-0.805 0.832 -3.482
-2.268 -5.992 -0.908
-10.012 3.279 3.097
! E_form (kJ/mol of formula units): 147
! Space-group type: P2/m (10)
! Magnetic moment (μB per formula unit): 0.001

(5)
! AcDy2Y8 PBE relaxed; values from VASP
&SYSTEM
  ibrav = 0, nat = 11, ntyp = 3
/
ATOMIC_SPECIES
Y 88.91 Y.upf
Dy 162.50 Dy.upf
Ac 227.00 Ac.upf
ATOMIC_POSITIONS angstrom
Y -0.707 0.903 7.259
Y -1.211 -3.138 12.488
Y -0.598 -0.503 3.789
Y 0.290 -2.207 7.003
Y -2.207 -0.027 12.744
Y -1.319 -1.732 15.958
Y -2.482 -1.542 9.105
Y 0.564 -0.693 10.642
Dy 1.080 -0.791 13.853
Dy -2.998 -1.444 5.894
Ac 0.000 0.000 0.000
CELL_PARAMETERS angstrom
-5.231 -1.722 0.559
2.735 -3.622 9.318
0.578 3.109 9.870
! E_form (kJ/mol of formula units): 130
! Space-group type: C2/m (12)
! Magnetic moment (μB per formula unit): 0.000
! Energy above the lowest structure with this stoichiometry (eV/f.u.): 0.00

(6)
! Ac2DyY PBE relaxed; values from VASP
&SYSTEM
  ibrav = 0, nat = 32, ntyp = 3
/
ATOMIC_SPECIES
Ac 227.00 Ac.upf
Y 88.91 Y.upf
Dy 162.50 Dy.upf
ATOMIC_POSITIONS angstrom
Ac -2.212 7.253 13.226
Ac 1.578 2.117 13.340
Ac -3.005 5.270 9.975
Ac 3.332 4.497 -0.324
Ac 5.686 -1.659 3.248
Ac 3.569 4.798 6.403
Ac 7.355 -0.326 6.498
Ac 7.123 -0.639 -0.210
Ac 1.342 1.816 6.613
Ac -0.775 8.274 9.768
Ac 11.692 -3.789 3.144
Ac 7.916 1.345 3.041
Ac -6.782 10.403 9.872
Ac 3.001 3.141 9.872
Ac 1.910 3.474 3.144
Ac -2.444 6.941 6.518
Y 6.400 3.062 11.586
Y 4.060 -0.091 8.157
Y 0.851 6.705 4.859
Y 10.077 -2.236 8.036
Y -1.490 3.552 1.430
Y 10.195 -2.077 11.707
Y -5.284 8.692 1.309
Y -5.166 8.850 4.980
Dy 0.262 5.045 8.038
Dy 4.649 1.570 4.978
Dy 0.386 5.212 11.706
Dy 0.730 6.543 1.190
Dy 6.280 2.900 7.917
Dy 4.180 0.072 11.826
Dy 4.525 1.403 1.310
Dy -1.369 3.715 5.099
CELL_PARAMETERS angstrom
12.036 -4.282 -0.220
-7.582 10.282 -0.220
0.456 0.615 13.455
! E_form (kJ/mol of formula units): 49
! Space-group type: C2/c (15)
! Magnetic moment (μB per formula unit): 0.000
! Energy above the lowest structure with this stoichiometry (eV/f.u.): 0.33